# 1
DFT (PBEsol) results for a relaxed structure of Sc2AsN.

The space group is Fm-3m (No. 225) and the conventional cell measures 6.2331, 6.2331 and 6.2331 Å, with angles of 90.00, 90.00 and 90.00 degrees. The distinct sites, in fractional coordinates, are Sc at (0.2500, 0.2500, 0.2500), As at (0.0000, 0.0000, 0.0000) and N at (0.0000, 0.0000, 0.5000).

For the raw formation energy, the calculation gives -0.57 eV per atom. Its energy above the most stable polymorph in this dataset is 0.8349 eV/atom.

***

# 2
DFT (PBEsol) results for a relaxed structure of CeP2Ir2.

The space group is P4/nmm (No. 129, origin choice 2) and the conventional cell measures 4.1104, 4.1104 and 9.5249 Å, with angles of 90.00, 90.00 and 90.00 degrees. The distinct sites, in fractional coordinates, are Ce at (0.2500, 0.2500, 0.2423), P at (0.2500, 0.2500, 0.6400), P at (0.2500, 0.7500, 0.0000), Ir at (0.2500, 0.2500, 0.8850) and Ir at (0.2500, 0.7500, 0.5000).

The energy of formation from the pure elements is -5.4 eV per formula unit.

***

# 3
DFT (PBEsol) results for a relaxed structure of Zn2RePb.

The space group is R3m (No. 160, hexagonal axes) and the conventional cell measures 3.0189, 3.0189 and 26.5171 Å, with angles of 90.00, 90.00 and 120.00 degrees. The distinct sites, in fractional coordinates, are Zn at (0.0000, 0.0000, 0.0000), Zn at (0.0000, 0.0000, 0.2604), Re at (0.0000, 0.0000, 0.5191) and Pb at (0.0000, 0.0000, 0.7640).

The energy of formation from the pure elements is 2.4 eV per formula unit.

***

DOS(E_F) in states/eV/cell, matching the order above: 7.71 6.16 9.86
M_tot in Bohr magnetons per cell, matching the order above: 0.0 0.5 0.0